[1]
The following is a PBE calculation of a relaxed Ru crystal, from the Alexandria database.

As for the excess energy over the best structure of this formula in the dataset: 1.169 eV/atom.

The structure belongs to space group P6_3/mmc (No. 194); the cell edges are 4.0525, 4.0525 and 5.6132 Å and the angles 90.00°, 90.00° and 120.00°. The asymmetric unit holds Ru at (0.3333, 0.6667, 0.0410).

[2]
The following is a PBE calculation of a relaxed Fe2HPdAu crystal, from the Alexandria database.

As for the excess energy over the best structure of this formula in the dataset: 0.000 eV/atom.

The structure belongs to space group P4/mmm (No. 123); the cell edges are 3.899, 3.899 and 3.947 Å and the angles 90.00°, 90.00° and 90.00°. The asymmetric unit holds Fe at (0.000, 0.500, 0.000), H at (0.000, 0.000, 0.000), Pd at (0.000, 0.000, 0.500) and Au at (0.500, 0.500, 0.500).